[1]
This record from the Alexandria database describes a geometry-optimized UTl2Ru3O12 structure. The functional is GGA-PBE.

a = 7.542 Å, b = 7.542 Å, c = 7.542 Å
α = 57.20°, β = 57.20°, γ = 57.20°
Fractional positions:
U  0.000  0.000  0.000
Tl  0.350  0.350  0.350
Tl  0.650  0.650  0.650
Ru  0.000  0.000  0.500
Ru  0.000  0.500  0.000
Ru  0.500  0.000  0.000
O  0.073  0.696  0.696
O  0.076  0.076  0.661
O  0.076  0.661  0.076
O  0.304  0.304  0.927
O  0.304  0.927  0.304
O  0.339  0.924  0.924
O  0.661  0.076  0.076
O  0.696  0.073  0.696
O  0.696  0.696  0.073
O  0.924  0.339  0.924
O  0.924  0.924  0.339
O  0.927  0.304  0.304

Properties
DOS at the Fermi energy, states/eV per cell: 10.0
SG: R-3m
Total moment, μB per atom: 0.000
Total energy, eV per atom: -7.07
Raw formation energy, eV/atom: -1.328

[2]
This record from the Alexandria database describes a geometry-optimized AcTbPrHo structure. The functional is GGA-PBE.

a = 3.723 Å, b = 3.723 Å, c = 10.344 Å
α = 90.00°, β = 90.00°, γ = 90.00°
Fractional positions:
Ac  0.000  0.000  0.000
Tb  0.000  0.000  0.488
Pr  0.500  0.500  0.731
Ho  0.500  0.500  0.259

Properties
Energy relative to the lowest polymorph listed for this composition, meV/atom: 0
DOS at the Fermi energy, states/eV per cell: 6.6
SG: P4mm
Total moment, μB per atom: 0.000
Total energy, eV per atom: -4.47

[3]
This record from the Alexandria database describes a geometry-optimized YMn3Ga structure. The functional is GGA-PBE.

a = 5.634 Å, b = 5.634 Å, c = 5.634 Å
α = 90.00°, β = 90.00°, γ = 90.00°
Fractional positions:
Y  0.000  0.000  0.000
Mn  0.000  0.000  0.500
Mn  0.000  0.500  0.000
Mn  0.500  0.000  0.000
Ga  0.500  0.500  0.500

Properties
DOS at the Fermi energy, states/eV per cell: 4.3
SG: Pm-3m
Total moment, μB per atom: 2.300
Total energy, eV per atom: -5.70

[4]
This record from the Alexandria database describes a geometry-optimized Cs4Na4Cd structure. The functional is GGA-PBE.

a = 11.191 Å, b = 11.191 Å, c = 11.191 Å
α = 139.66°, β = 139.66°, γ = 58.36°
Fractional positions:
Cs  0.064  0.613  0.000
Cs  0.387  0.387  0.451
Cs  0.613  0.064  0.000
Cs  0.936  0.936  0.549
Na  0.234  0.234  0.568
Na  0.334  0.766  0.000
Na  0.666  0.666  0.432
Na  0.766  0.334  0.000
Cd  0.000  0.000  0.000

Properties
DOS at the Fermi energy, states/eV per cell: 6.7
SG: I-42m
Total moment, μB per atom: 0.000
Total energy, eV per atom: -1.04

What is the formula in the third record? YMn3Ga

Which value of total energy does entry 1 give? -7.07 eV per atom

Repeat the second record exactly.
This record from the Alexandria database describes a geometry-optimized AcTbPrHo structure. The functional is GGA-PBE.

a = 3.723 Å, b = 3.723 Å, c = 10.344 Å
α = 90.00°, β = 90.00°, γ = 90.00°
Fractional positions:
Ac  0.000  0.000  0.000
Tb  0.000  0.000  0.488
Pr  0.500  0.500  0.731
Ho  0.500  0.500  0.259

Properties
Energy relative to the lowest polymorph listed for this composition, meV/atom: 0
DOS at the Fermi energy, states/eV per cell: 6.6
SG: P4mm
Total moment, μB per atom: 0.000
Total energy, eV per atom: -4.47

What is the formula in the first record? UTl2Ru3O12